Record 1
Density functional theory data (GGA-PBEsol) for RbAg2Sn2 after structural relaxation.

Summary:
- Space group: I4/mmm
- Magnetic moment: 0.00 μB/f.u.
- Formation enthalpy at 0 K: -0.326 eV/f.u.

a b c (Å): 4.9071 4.9071 6.5292
angles (deg): 112.07 112.07 90.00
Closest atoms and distances in Å follow each position.
Fractional coordinates of all 5 atoms:
Rb1 0.0000 0.0000 0.0000  8 Ag 3.70, 10 Sn 3.76-4.07
Sn1 0.3681 0.3681 0.7362  4 Ag 2.78, 1 Sn 2.92
Sn2 0.6319 0.6319 0.2638  4 Ag 2.78, 1 Sn 2.92
Ag1 0.2500 0.7500 0.5000  4 Sn 2.78
Ag2 0.7500 0.2500 0.5000  4 Sn 2.78

---

Record 2
Density functional theory data (GGA-PBEsol) for La2IrPdRh after structural relaxation.

Summary:
- Space group: P4/mmm
- Magnetic moment: 0.00 μB/f.u.
- Formation enthalpy at 0 K: 2.789 eV/f.u.

a b c (Å): 4.6264 5.4041 5.4041
angles (deg): 90.00 90.00 90.00
Closest atoms and distances in Å follow each position.
Fractional coordinates of all 5 atoms:
Ir1 0.5000 0.0000 0.0000  2 Pd 2.31
Rh1 0.5000 0.5000 0.5000  8 La 3.56, 4 Ir 3.82
Pd1 0.0000 0.0000 0.0000  2 Ir 2.31
La1 0.0000 0.0000 0.5000  2 Pd 2.70
La2 0.0000 0.5000 0.0000  2 Pd 2.70

---

Record 3
Density functional theory data (GGA-PBEsol) for Li2CaAu2 after structural relaxation.

Summary:
- Space group: P4/mbm
- ΔE to the lowest computed polymorph: 32 meV per atom
- Magnetic moment: 0.00 μB/f.u.
- Formation enthalpy at 0 K: -2.548 eV/f.u.

a b c (Å): 3.1179 7.4759 7.4759
angles (deg): 90.00 90.00 90.00
Closest atoms and distances in Å follow each position.
Fractional coordinates of all 10 atoms:
Ca1 0.0000 0.0000 0.0000  4 Li 2.99, 2 Ca 3.12, 8 Au 3.17
Ca2 0.0000 0.5000 0.5000  4 Li 2.99, 2 Ca 3.12, 8 Au 3.17
Au1 0.5000 0.1764 0.6764  6 Li 2.68-2.73
Au2 0.5000 0.6764 0.8236  6 Li 2.68-2.73
Au3 0.5000 0.8236 0.3236  6 Li 2.68-2.73
Au4 0.5000 0.3236 0.1764  6 Li 2.68-2.73
Li1 0.0000 0.3826 0.8826  1 Li 2.48, 6 Au 2.68-2.73
Li2 0.0000 0.8826 0.6174  1 Li 2.48, 6 Au 2.68-2.73
Li3 0.0000 0.6174 0.1174  1 Li 2.48, 6 Au 2.68-2.73
Li4 0.0000 0.1174 0.3826  1 Li 2.48, 6 Au 2.68-2.73

---

Record 4
Density functional theory data (GGA-PBEsol) for ZrScAl2 after structural relaxation.

Summary:
- Space group: P4/mmm
- ΔE to the lowest computed polymorph: 0 meV per atom
- Magnetic moment: 0.27 μB/f.u.
- Formation enthalpy at 0 K: -1.779 eV/f.u.

a b c (Å): 3.0149 3.0149 8.2676
angles (deg): 90.00 90.00 90.00
Closest atoms and distances in Å follow each position.
Fractional coordinates of all 4 atoms:
Sc1 0.5000 0.5000 0.0000  8 Al 2.97, 4 Sc 3.01
Al1 0.0000 0.0000 0.7493  4 Zr 2.97, 4 Sc 2.97, 4 Al 3.01
Al2 0.0000 0.0000 0.2507  4 Zr 2.97, 4 Sc 2.97, 4 Al 3.01
Zr1 0.5000 0.5000 0.5000  8 Al 2.97, 4 Zr 3.01

---

| no. | volume (Å³/cell) |
| --- | --- |
| 1 | 133.2 |
| 2 | 135.1 |
| 3 | 174.3 |
| 4 | 75.1 |